Record 1
DFT (PBE) results for a geometry-optimized BeNi3Sn structure.

Unit cell a=3.980 b=3.980 c=3.980 alpha=90.00 beta=90.00 gamma=90.00
Positions (direct):
Be: 0.000 0.000 0.000
Ni: 0.000 0.000 0.500
Ni: 0.000 0.500 0.000
Ni: 0.500 0.000 0.000
Sn: 0.500 0.500 0.500

* space group: No. 221
* crystal system: cubic
* polymorph energy (0 for the lowest one): 0 meV per atom

---

Record 2
DFT (PBE) results for a geometry-optimized TiNiMo2 structure.

Unit cell a=4.357 b=4.357 c=4.357 alpha=60.00 beta=60.00 gamma=60.00
Positions (direct):
Ti: 0.000 0.000 0.000
Ni: 0.500 0.500 0.500
Mo: 0.250 0.250 0.250
Mo: 0.750 0.750 0.750

* space group: No. 225
* crystal system: cubic
* polymorph energy (0 for the lowest one): 0 meV per atom

---

Record 3
DFT (PBE) results for a geometry-optimized LiTaGe3 structure.

Unit cell a=4.443 b=4.443 c=4.443 alpha=90.00 beta=90.00 gamma=90.00
Positions (direct):
Li: 0.000 0.000 0.000
Ta: 0.500 0.500 0.500
Ge: 0.000 0.000 0.500
Ge: 0.000 0.500 0.000
Ge: 0.500 0.000 0.000

* space group: No. 221
* crystal system: cubic
* polymorph energy (0 for the lowest one): 614 meV per atom

---

Record 4
DFT (PBE) results for a geometry-optimized PmH4PtRh2 structure.

Unit cell a=5.558 b=5.558 c=5.558 alpha=134.54 beta=134.54 gamma=66.24
Positions (direct):
Pm: 0.000 0.000 0.000
H: 0.160 0.527 0.991
H: 0.473 0.464 0.633
H: 0.536 0.169 0.009
H: 0.831 0.840 0.367
Pt: 0.250 0.750 0.500
Rh: 0.500 0.500 0.000
Rh: 0.750 0.250 0.500

* raw total energy: -42.014 eV/cell
* space group: No. 82
* crystal system: tetragonal

---

Record 5
DFT (PBE) results for a geometry-optimized FeReSi2 structure.

Unit cell a=4.707 b=4.707 c=4.707 alpha=135.70 beta=135.70 gamma=64.45
Positions (direct):
Fe: 0.000 0.000 0.000
Re: 0.250 0.750 0.500
Si: 0.500 0.500 0.000
Si: 0.750 0.250 0.500

* raw total energy: -31.911 eV/cell
* space group: No. 119
* crystal system: tetragonal

---

Record 6
DFT (PBE) results for a geometry-optimized PuTlPd structure.

Unit cell a=4.934 b=4.934 c=3.183 alpha=90.00 beta=90.00 gamma=120.00
Positions (direct):
Pu: 0.000 0.000 0.000
Tl: 0.333 0.667 0.500
Pd: 0.667 0.333 0.498

* raw total energy: -22.613 eV/cell
* space group: No. 156
* crystal system: trigonal

---

Record 7
DFT (PBE) results for a geometry-optimized Mg2MnCo structure.

Unit cell a=4.811 b=4.811 c=2.832 alpha=90.15 beta=90.15 gamma=109.04
Positions (direct):
Mg: 0.000 0.500 0.000
Mg: 0.500 0.000 0.000
Mn: 0.000 0.000 0.500
Co: 0.500 0.500 0.500

* space group: No. 12
* crystal system: monoclinic
* polymorph energy (0 for the lowest one): 163 meV per atom

---

Record 8
DFT (PBE) results for a geometry-optimized HfB4W structure.

Unit cell a=5.920 b=11.410 c=3.520 alpha=90.00 beta=90.00 gamma=90.00
Positions (direct):
Hf: 0.129 0.148 0.000
Hf: 0.371 0.648 0.000
Hf: 0.629 0.352 0.000
Hf: 0.871 0.852 0.000
B: 0.019 0.697 0.500
B: 0.117 0.550 0.500
B: 0.130 0.969 0.500
B: 0.201 0.812 0.500
B: 0.299 0.312 0.500
B: 0.370 0.469 0.500
B: 0.383 0.050 0.500
B: 0.481 0.197 0.500
B: 0.519 0.803 0.500
B: 0.617 0.950 0.500
B: 0.630 0.531 0.500
B: 0.701 0.688 0.500
B: 0.799 0.188 0.500
B: 0.870 0.031 0.500
B: 0.883 0.450 0.500
B: 0.981 0.303 0.500
W: 0.137 0.411 0.000
W: 0.363 0.911 0.000
W: 0.637 0.089 0.000
W: 0.863 0.589 0.000

* raw total energy: -210.488 eV/cell
* space group: No. 55
* crystal system: orthorhombic

---

Record 9
DFT (PBE) results for a geometry-optimized Mn8Ag structure.

Unit cell a=5.688 b=5.688 c=5.688 alpha=95.70 beta=95.70 gamma=143.25
Positions (direct):
Mn: 0.000 0.345 0.345
Mn: 0.000 0.655 0.655
Mn: 0.316 0.316 0.632
Mn: 0.316 0.684 0.000
Mn: 0.345 0.000 0.345
Mn: 0.655 0.000 0.655
Mn: 0.684 0.316 0.000
Mn: 0.684 0.684 0.368
Ag: 0.000 0.000 0.000

* raw total energy: -73.543 eV/cell
* space group: No. 139
* crystal system: tetragonal

---

Record 10
DFT (PBE) results for a geometry-optimized LaTbCo4 structure.

Unit cell a=3.892 b=4.176 c=6.767 alpha=90.00 beta=90.00 gamma=90.00
Positions (direct):
La: 0.000 0.000 0.000
Tb: 0.500 0.000 0.500
Co: 0.000 0.500 0.337
Co: 0.000 0.500 0.663
Co: 0.500 0.500 0.170
Co: 0.500 0.500 0.830

* space group: No. 47
* crystal system: orthorhombic
* polymorph energy (0 for the lowest one): 0 meV per atom

---

Record 11
DFT (PBE) results for a geometry-optimized KHgRhCl6 structure.

Unit cell a=6.745 b=6.745 c=13.339 alpha=90.00 beta=90.00 gamma=120.00
Positions (direct):
K: 0.000 0.000 0.000
K: 0.000 0.000 0.500
Hg: 0.333 0.667 0.250
Hg: 0.667 0.333 0.750
Rh: 0.333 0.667 0.750
Rh: 0.667 0.333 0.250
Cl: 0.042 0.388 0.647
Cl: 0.042 0.653 0.853
Cl: 0.347 0.388 0.853
Cl: 0.347 0.958 0.647
Cl: 0.388 0.042 0.147
Cl: 0.388 0.347 0.353
Cl: 0.612 0.653 0.647
Cl: 0.612 0.958 0.853
Cl: 0.653 0.042 0.353
Cl: 0.653 0.612 0.147
Cl: 0.958 0.347 0.147
Cl: 0.958 0.612 0.353

* raw total energy: -56.149 eV/cell
* space group: No. 163
* crystal system: trigonal

---

Record 12
DFT (PBE) results for a geometry-optimized Ce3Pm2SmSb6 structure.

Unit cell a=7.781 b=7.781 c=7.783 alpha=99.60 beta=99.60 gamma=119.99
Positions (direct):
Ce: 0.000 0.000 0.000
Ce: 0.333 0.667 0.000
Ce: 0.667 0.333 0.000
Pm: 0.167 0.833 0.500
Pm: 0.833 0.167 0.500
Sm: 0.500 0.500 0.500
Sb: 0.084 0.417 0.250
Sb: 0.251 0.251 0.751
Sb: 0.417 0.084 0.250
Sb: 0.583 0.916 0.750
Sb: 0.749 0.749 0.249
Sb: 0.916 0.583 0.750

* raw total energy: -70.170 eV/cell
* space group: No. 12
* crystal system: monoclinic

---

The size of the total moment results, record by record, are as follows: 0.0 0.0 0.0 0.0 1.2 5.5 4.5 0.0 0.0 2.8 0.0 2.3 μB/f.u..